Material: Pr5Ho2Er12
Method: DFT, GGA-PBE
State: relaxed

Cell: 7.0368 9.8201 10.3785 Å, 70.25 90.00 110.99°
Last column: nearest neighbours and their distance in Å.
Fractional coordinates of all 19 atoms:
Er: 0.0898 0.6849 0.8677  6 Er 3.34-3.64, 2 Pr 3.54-3.55, 1 Ho 3.62
Ho: 0.2726 0.0000 0.0000  2 Er 3.09, 1 Ho 3.20
Er: 0.0245 0.0491 0.7544  1 Pr 2.83, 2 Ho 3.09
Er: 0.9101 0.3258 0.4799  6 Er 3.37-3.64, 3 Pr 3.42-3.75
Pr: 0.8130 0.6260 0.1805  5 Er 3.28-3.55, 2 Pr 3.54
Er: 0.0899 0.6742 0.5201  6 Er 3.37-3.64, 3 Pr 3.42-3.75
Ho: 0.7274 0.0000 0.0000  2 Er 3.09, 1 Ho 3.20
Pr: 0.3188 0.6375 0.2105  2 Pr 3.54, 2 Ho 3.62, 9 Er 3.66-3.93
Er: 0.5843 0.6742 0.5201  6 Er 3.37-3.64, 3 Pr 3.42-3.75
Er: 0.4157 0.3258 0.4799  6 Er 3.37-3.64, 3 Pr 3.42-3.75
Er: 0.9102 0.3151 0.1323  6 Er 3.34-3.64, 2 Pr 3.54-3.55, 1 Ho 3.62
Er: 0.9755 0.9509 0.2456  1 Pr 2.83, 2 Ho 3.09
Pr: 0.0000 0.0000 0.5000  2 Er 2.83
Pr: 0.6812 0.3625 0.7895  2 Pr 3.54, 2 Ho 3.62, 9 Er 3.66-3.93
Pr: 0.1870 0.3740 0.8195  5 Er 3.28-3.55, 2 Pr 3.54
Er: 0.5951 0.6849 0.8677  6 Er 3.34-3.64, 2 Pr 3.54-3.55, 1 Ho 3.62
Er: 0.4984 0.9969 0.6760  7 Er 3.34-3.68, 2 Ho 3.73
Er: 0.5016 0.0031 0.3240  7 Er 3.34-3.68, 2 Ho 3.73
Er: 0.4049 0.3151 0.1323  6 Er 3.34-3.64, 2 Pr 3.54-3.55, 1 Ho 3.62

E_form   0.181 eV/atom
M_tot   0.00 μB/cell
Calculated volume   32.85 A^3/atom
DOS(E_F)   26.7 states/eV/f.u.